## AcZn (PBE)

Data for a relaxed AcZn crystal.

Lattice parameters (Å, degrees): 7.8455 5.5859 8.4331 90.00 106.52 90.00
With the nearest neighbours (Å) after each atom.
Element x y z (fractional)
Ac  0.1808  0.2500  0.3356  7 Zn 3.11-3.37
Ac  0.1947  0.7500  0.0483  2 Zn 3.21-3.44
Ac  0.2595  0.2500  0.7843  7 Zn 3.27-3.63, 1 Ac 3.66
Ac  0.7405  0.7500  0.2157  7 Zn 3.27-3.63, 1 Ac 3.66
Ac  0.8053  0.2500  0.9517  2 Zn 3.21-3.44
Ac  0.8192  0.7500  0.6644  7 Zn 3.11-3.37
Zn  0.1585  0.7500  0.5424  2 Zn 2.57-2.85
Zn  0.4293  0.7500  0.4280  1 Zn 2.57
Zn  0.4808  0.7500  0.8062  2 Zn 2.85-3.10
Zn  0.5192  0.2500  0.1938  2 Zn 2.85-3.10
Zn  0.5707  0.2500  0.5720  1 Zn 2.57
Zn  0.8415  0.2500  0.4576  2 Zn 2.57-2.85

Properties
- M_tot: 0.02 μB/cell
- ΔH_f (0 K): -0.083 eV per atom